Entry from the Alexandria database: a relaxed structure of Sb2OF2 (PBE).

```
data_Sb2OF2
_cell_length_a 13.7467
_cell_length_b 4.3869
_cell_length_c 7.4497
_cell_angle_alpha 90.00
_cell_angle_beta 113.02
_cell_angle_gamma 90.00
_space_group_name_H-M_alt 'C 1 2/m 1'
_space_group_IT_number 12
_space_group_name_Hall '-C 2y'
loop_
_atom_site_label
_atom_site_type_symbol
_atom_site_fract_x
_atom_site_fract_y
_atom_site_fract_z
Sb1 Sb 0.0262 0.0000 0.2560
Sb2 Sb 0.2373 0.5000 0.8555
O1 O 0.1017 0.0000 0.0737
F1 F 0.0308 0.5000 0.2455
F2 F 0.1660 0.0000 0.4756
```

Calculated values
calculated total energy: -4.985 eV/atom
V: 413.49 Å³/cell
formation energy (no corrections): -1595 meV/atom